Entry 1:
ReRu2S | PBE | optimized geometry

## Properties
**E_form (uncorrected)**: -18 meV per atom

Unit cell a=2.8283 b=7.2845 c=5.4195 alpha=90.00 beta=90.00 gamma=90.00
Closest atoms and distances in Å follow each position.
Space group Amm2 (No. 38)
Asymmetric unit:
Re: 0.0000 0.0000 0.0000 [2 per cell]  1 S 2.32
Ru: 0.5000 0.1929 0.6462 [4 per cell]  2 S 2.32
S: 0.0000 0.0000 0.4279 [2 per cell]  4 Ru 2.32, 1 Re 2.32


Entry 2:
HoRuBr | PBE | optimized geometry

## Properties
**E_form (uncorrected)**: -83 meV per atom

Unit cell a=7.9214 b=4.5726 c=8.2552 alpha=90.00 beta=108.76 gamma=90.00
Closest atoms and distances in Å follow each position.
Space group C2/m (No. 12)
Asymmetric unit:
Ho: 0.1237 0.0000 0.3716 [4 per cell]  4 Ru 2.79-2.91, 3 Br 3.05-3.06
Ru: 0.2486 0.0000 0.7441 [4 per cell]  3 Br 2.71-2.72, 4 Ho 2.79-2.91
Br: 0.1086 0.5000 0.8249 [4 per cell]  3 Ru 2.71-2.72


Entry 3:
TbNiAu | PBE | optimized geometry

## Properties
**Energy of formation from the pure elements**: -0.546 eV per atom

Unit cell a=4.3887 b=4.3887 c=3.6001 alpha=90.00 beta=90.00 gamma=120.00
Closest atoms and distances in Å follow each position.
Space group P-6m2 (No. 187)
Asymmetric unit:
Tb: 0.0000 0.0000 0.0000 [1 per cell]  6 Ni 3.11, 6 Au 3.11
Ni: 0.6667 0.3333 0.5000 [1 per cell]  3 Au 2.53
Au: 0.3333 0.6667 0.5000 [1 per cell]  3 Ni 2.53


Entry 4:
BiS2F | PBE | optimized geometry

## Properties
**E_form (uncorrected)**: -248 meV per atom
**E above lowest polymorph**: 2.07 eV/f.u.

Unit cell a=3.9247 b=3.9247 c=22.0600 alpha=90.00 beta=90.00 gamma=120.00
Closest atoms and distances in Å follow each position.
Space group R-3m (No. 166, hexagonal axes)
Asymmetric unit:
Bi: 0.0000 0.0000 0.0000 [3 per cell]  6 S 2.80
S: 0.0000 0.0000 0.4081 [6 per cell]  1 F 2.03
F: 0.0000 0.0000 0.5000 [3 per cell]  2 S 2.03


Entry 5:
NaTeAsSe2 | PBE | optimized geometry

## Properties
**E_form (uncorrected)**: 802 meV per atom
**E above lowest polymorph**: 2.93 eV/f.u.

Unit cell a=5.0854 b=5.0854 c=5.1204 alpha=90.00 beta=90.00 gamma=90.00
Closest atoms and distances in Å follow each position.
Space group P4/mmm (No. 123)
Asymmetric unit:
Na: 0.0000 0.0000 0.0000 [1 per cell]  4 Se 2.54, 2 As 2.56
Te: 0.5000 0.5000 0.5000 [1 per cell]  4 As 3.60, 8 Se 3.61
As: 0.0000 0.0000 0.5000 [1 per cell]  2 Na 2.56
Se: 0.0000 0.5000 0.0000 [2 per cell]  2 Na 2.54


Entry 6:
BaCa2Tb | PBE | optimized geometry

## Properties
**Energy of formation from the pure elements**: 0.167 eV per atom
**E above lowest polymorph**: 0.22 eV/f.u.

Unit cell a=8.7855 b=8.7855 c=8.7855 alpha=90.00 beta=90.00 gamma=90.00
Closest atoms and distances in Å follow each position.
Space group Fm-3m (No. 225)
Asymmetric unit:
Ba: 0.0000 0.0000 0.0000 [4 per cell]  8 Ca 3.80
Ca: 0.2500 0.2500 0.2500 [8 per cell]  4 Ba 3.80, 4 Tb 3.80
Tb: 0.0000 0.0000 0.5000 [4 per cell]  8 Ca 3.80


Entry 7:
BaMgSc2 | PBE | optimized geometry

## Properties
**Energy of formation from the pure elements**: 0.365 eV per atom

Unit cell a=6.8829 b=9.8858 c=3.5010 alpha=90.00 beta=90.00 gamma=90.00
Closest atoms and distances in Å follow each position.
Space group Cmmm (No. 65)
Asymmetric unit:
Ba: 0.0000 0.0000 0.0000 [2 per cell]  2 Mg 3.44, 8 Sc 3.48, 2 Ba 3.50
Mg: 0.0000 0.5000 0.0000 [2 per cell]  2 Ba 3.44, 8 Sc 3.48, 2 Mg 3.50
Sc: 0.2500 0.2500 0.5000 [4 per cell]  4 Sc 3.44-3.50, 4 Ba 3.48, 4 Mg 3.48


Entry 8:
Tb3Ho6Th | PBE | optimized geometry

## Properties
**Energy of formation from the pure elements**: 0.075 eV per atom
**E above lowest polymorph**: 0.00 eV/f.u.

Unit cell a=12.9530 b=3.5080 c=14.2091 alpha=90.00 beta=100.42 gamma=90.00
Closest atoms and distances in Å follow each position.
Space group P2_1/m (No. 11)
Asymmetric unit:
Tb: 0.0758 0.2500 0.1002 [2 per cell]  6 Ho 3.41-3.62, 4 Tb 3.51-3.61, 2 Th 3.61
Tb: 0.3741 0.7500 0.4976 [2 per cell]  5 Ho 3.28-3.42, 2 Tb 3.51
Tb: 0.4222 0.2500 0.9030 [2 per cell]  8 Ho 3.36-3.63, 4 Tb 3.51-3.57
Ho: 0.1211 0.2500 0.4853 [2 per cell]  8 Ho 3.51-3.76, 2 Tb 3.69, 3 Th 3.71-3.74
Ho: 0.1910 0.7500 0.9217 [2 per cell]  5 Tb 3.41-3.62, 5 Ho 3.50-3.60, 2 Th 3.59
Ho: 0.2215 0.7500 0.2862 [2 per cell]  3 Tb 3.28-3.44, 1 Th 3.37, 5 Ho 3.51-3.55
Ho: 0.2718 0.7500 0.6997 [2 per cell]  3 Tb 3.37-3.63, 7 Ho 3.47-3.74, 2 Th 3.54
Ho: 0.3453 0.2500 0.1203 [2 per cell]  4 Tb 3.41-3.55, 8 Ho 3.51-3.60
Ho: 0.4988 0.7500 0.3093 [2 per cell]  4 Tb 3.36-3.42, 7 Ho 3.47-3.55
Th: 0.0402 0.2500 0.7228 [2 per cell]  8 Ho 3.37-3.74, 2 Th 3.51, 2 Tb 3.61